{"formula": "NdDyHo2Er", "functional": "PBE", "state": "optimized geometry", "e_form_ev_per_atom": 0.387, "magnetic_moment_mub_per_cell": 0.0, "lattice_angstrom": [[7.1863, 0.0000, 0.0000], [0.0000, 8.3730, 0.0000], [0.0000, -4.1865, 5.7204]], "species": ["Nd", "Nd", "Dy", "Dy", "Ho", "Ho", "Ho", "Ho", "Er", "Er"], "frac_coords": [[0.2500, 0.7280, 0.4561], [0.7500, 0.2720, 0.5439], [0.2500, 0.9992, 0.9985], [0.7500, 0.0008, 0.0015], [0.5000, 0.3103, 0.0000], [0.0000, 0.6897, 0.0000], [0.5000, 0.6897, 0.0000], [0.0000, 0.3103, 0.0000], [0.7500, 0.7219, 0.4439], [0.2500, 0.2781, 0.5561]]}